1.
VASP calculation (PBE) on LaPm4Ho7 after structural relaxation.

a = 6.2740 Å, b = 7.2367 Å, c = 8.9191 Å
α = 90.02°, β = 103.68°, γ = 90.07°
Space group P-1 (No. 2)
Asymmetric unit:
1 La 0.0000 0.0000 0.0000 [1 per cell]
2 Pm 0.2217 0.4999 0.6678 [2 per cell]
3 Pm 0.2794 0.7506 0.3355 [2 per cell]
4 Ho 0.0000 0.5000 0.0000 [1 per cell]
5 Ho 0.2214 0.9997 0.6662 [2 per cell]
6 Ho 0.2783 0.2498 0.3331 [2 per cell]
7 Ho 0.4998 0.2491 0.0006 [2 per cell]

Distance to the lowest polymorph of the same formula   0 meV per atom
ΔH_f (0 K)   11.7 meV/atom
DOS at the Fermi energy   17.4 states/eV/f.u.

***

2.
VASP calculation (PBE) on La2Pm3Ho8 after structural relaxation.

a = 21.0222 Å, b = 7.6942 Å, c = 5.5555 Å
α = 90.00°, β = 90.02°, γ = 90.00°
Space group C2/m (No. 12)
Asymmetric unit:
1 La 0.2408 0.0000 0.4991 [4 per cell]
2 Pm 0.0000 0.0000 0.5000 [2 per cell]
3 Pm 0.0000 0.2941 0.0000 [4 per cell]
4 Ho 0.1067 0.2883 0.5002 [8 per cell]
5 Ho 0.1262 0.0000 0.9999 [4 per cell]
6 Ho 0.1599 0.5000 0.0005 [4 per cell]

ΔH_f (0 K)   251.2 meV/atom
DOS at the Fermi energy   23.2 states/eV/f.u.

***

3.
VASP calculation (PBE) on LaPm8Ho3 after structural relaxation.

a = 16.0466 Å, b = 6.3653 Å, c = 11.0233 Å
α = 90.00°, β = 133.30°, γ = 90.00°
Space group C2 (No. 5)
Asymmetric unit:
1 La 0.0000 0.0000 0.0000 [2 per cell]
2 Pm 0.0001 0.0043 0.3365 [4 per cell]
3 Pm 0.9999 0.5013 0.1669 [4 per cell]
4 Pm 0.2476 0.6682 0.9134 [4 per cell]
5 Pm 0.2477 0.6686 0.5817 [4 per cell]
6 Ho 0.0000 0.4990 0.5000 [2 per cell]
7 Ho 0.2483 0.1706 0.7484 [4 per cell]

ΔH_f (0 K)   28.3 meV/atom
DOS at the Fermi energy   21.2 states/eV/f.u.

***

4.
VASP calculation (PBE) on La4Pm3Ho2 after structural relaxation.

a = 15.5577 Å, b = 5.2093 Å, c = 8.1496 Å
α = 90.00°, β = 108.36°, γ = 90.00°
Space group C2/m (No. 12)
Asymmetric unit:
1 La 0.0546 0.0000 0.3297 [4 per cell]
2 La 0.2233 0.5000 0.3302 [4 per cell]
3 Pm 0.0000 0.5000 0.0000 [2 per cell]
4 Pm 0.1122 0.5000 0.6703 [4 per cell]
5 Ho 0.1679 0.0000 0.9993 [4 per cell]

Distance to the lowest polymorph of the same formula   0 meV per atom
ΔH_f (0 K)   24.1 meV/atom
DOS at the Fermi energy   16.0 states/eV/f.u.

***

5.
VASP calculation (PBE) on La7PmHo12 after structural relaxation.

a = 12.0767 Å, b = 12.0767 Å, c = 16.3103 Å
α = 90.00°, β = 90.00°, γ = 120.00°
Space group R-3 (No. 148, hexagonal axes)
Asymmetric unit:
1 La 0.0000 0.0000 0.0000 [3 per cell]
2 La 0.0503 0.1813 0.2862 [18 per cell]
3 Pm 0.0000 0.0000 0.5000 [3 per cell]
4 Ho 0.0238 0.4466 0.2216 [18 per cell]
5 Ho 0.0510 0.5865 0.5834 [18 per cell]

Distance to the lowest polymorph of the same formula   0 meV per atom
ΔH_f (0 K)   220.8 meV/atom
DOS at the Fermi energy   36.9 states/eV/f.u.

***

6.
VASP calculation (PBE) on La2PmHo after structural relaxation.

a = 3.6794 Å, b = 3.6794 Å, c = 35.5097 Å
α = 90.00°, β = 90.00°, γ = 120.00°
Space group R-3m (No. 166, hexagonal axes)
Asymmetric unit:
1 La 0.0000 0.0000 0.2487 [6 per cell]
2 Pm 0.0000 0.0000 0.0000 [3 per cell]
3 Ho 0.0000 0.0000 0.5000 [3 per cell]

Distance to the lowest polymorph of the same formula   0 meV per atom
ΔH_f (0 K)   12.2 meV/atom
DOS at the Fermi energy   5.3 states/eV/f.u.